w) VASP calculation (PBEsol) on crystalline BaBe2Cr at its relaxed geometry.

a b c (Å): 4.7446 4.7446 7.0485
angles (deg): 90.00 90.00 90.00
Closest atoms and distances in Å follow each position.
Space group I4/mmm (No. 139)
Asymmetric unit:
Ba 0.0000 0.0000 0.0000 (multiplicity 2)  8 Be 2.96
Be 0.0000 0.5000 0.2500 (multiplicity 4)  4 Cr 2.96, 4 Ba 2.96
Cr 0.0000 0.0000 0.5000 (multiplicity 2)  8 Be 2.96

x) VASP calculation (PBEsol) on crystalline BaBe2Cr at its relaxed geometry.

a b c (Å): 4.9135 4.9135 3.0481
angles (deg): 90.00 90.00 90.00
Closest atoms and distances in Å follow each position.
Space group P4/mmm (No. 123)
Asymmetric unit:
Ba 0.0000 0.0000 0.0000 (multiplicity 1)  8 Be 2.89, 2 Ba 3.05
Be 0.0000 0.5000 0.5000 (multiplicity 2)  4 Cr 2.89, 4 Ba 2.89, 2 Be 3.05
Cr 0.5000 0.5000 0.0000 (multiplicity 1)  8 Be 2.89, 2 Cr 3.05

Winner for stability: w)

w) VASP calculation (PBEsol) on crystalline RuRh2Cl at its relaxed geometry.

a b c (Å): 2.7573 4.5239 8.8346
angles (deg): 90.00 90.00 90.00
Closest atoms and distances in Å follow each position.
Space group Immm (No. 71)
Asymmetric unit:
Ru 0.0000 0.0000 0.0000 (multiplicity 2)  4 Cl 2.65, 4 Rh 2.68, 2 Ru 2.76
Rh 0.0000 0.5000 0.2401 (multiplicity 4)  2 Cl 2.53, 6 Rh 2.65-2.76, 2 Ru 2.68
Cl 0.0000 0.0000 0.5000 (multiplicity 2)  4 Rh 2.53, 4 Ru 2.65, 2 Cl 2.76

x) VASP calculation (PBEsol) on crystalline RuRh2Cl at its relaxed geometry.

a b c (Å): 2.7622 2.7622 7.3465
angles (deg): 90.00 90.00 90.00
Closest atoms and distances in Å follow each position.
Space group P4/mmm (No. 123)
Asymmetric unit:
Ru 0.0000 0.0000 0.0000 (multiplicity 1)  8 Rh 2.63, 4 Ru 2.76
Rh 0.5000 0.5000 0.2406 (multiplicity 2)  4 Ru 2.63, 4 Cl 2.73, 4 Rh 2.76
Cl 0.0000 0.0000 0.5000 (multiplicity 1)  8 Rh 2.73, 4 Cl 2.76

Winner for stability: x)

w) VASP calculation (PBEsol) on crystalline TcMo2W at its relaxed geometry.

a b c (Å): 6.2247 6.2247 6.2247
angles (deg): 90.00 90.00 90.00
Closest atoms and distances in Å follow each position.
Space group F-43m (No. 216)
Asymmetric unit:
Tc 0.0000 0.0000 0.0000 (multiplicity 4)  4 W 2.70, 4 Mo 2.70
Mo 0.0000 0.0000 0.5000 (multiplicity 4)  4 W 2.70, 4 Mo 2.70
Mo 0.2500 0.2500 0.2500 (multiplicity 4)  4 Mo 2.70, 4 Tc 2.70
W 0.2500 0.2500 0.7500 (multiplicity 4)  4 Mo 2.70, 4 Tc 2.70

x) VASP calculation (PBEsol) on crystalline TcMo2W at its relaxed geometry.

a b c (Å): 4.4088 4.4088 3.1069
angles (deg): 90.00 90.00 90.00
Closest atoms and distances in Å follow each position.
Space group P4/mmm (No. 123)
Asymmetric unit:
Tc 0.0000 0.0000 0.0000 (multiplicity 1)  8 Mo 2.70
Mo 0.0000 0.5000 0.5000 (multiplicity 2)  4 W 2.70, 4 Tc 2.70
W 0.5000 0.5000 0.0000 (multiplicity 1)  8 Mo 2.70

Winner for stability: w)